Sr2LiFe | PBE | relaxed

abc: 3.7307 3.7307 8.8694
angles: 90.00 90.00 90.00
Space group P4mm (No. 99)
Inequivalent atoms, fractional coordinates:
Sr 0.0000 0.0000 0.0000 (multiplicity 1)
Sr 0.5000 0.5000 0.3892 (multiplicity 1)
Li 0.5000 0.5000 0.7386 (multiplicity 1)
Fe 0.0000 0.0000 0.6257 (multiplicity 1)

Results
* DFT total energy: -2.9712 eV per atom
* total moment: 2.54 μB/f.u.
* distance to the lowest polymorph of the same formula: 38 meV/atom
* V: 123 Å³/f.u.
* DFT formation energy: 44.8 kJ/mol of atoms